1.
Entry from Alexandria: a relaxed CeHo2Zr crystal (PBE-GGA).

The structure in POSCAR format:
```
CeHo2Zr
1.0
5.441 0.000 0.000
2.721 4.712 0.000
2.721 1.571 4.443
Ce Ho Zr
1 2 1
Cartesian
0.000 0.000 0.000
2.721 1.571 1.111
8.162 4.712 3.332
5.441 3.142 2.221
```

Properties
**Symmetry**: Fm-3m, No. 225
**Formation enthalpy at 0 K**: 231.9 meV per atom
**N(E_F)**: 11.2 states/eV/f.u.
**Distance to the lowest polymorph of the same formula**: 127 meV per atom



2.
Entry from Alexandria: a relaxed CeHo2Zr crystal (PBE-GGA).

The structure in POSCAR format:
```
CeHo2Zr
1.0
-1.316 0.095 -3.032
1.858 -0.742 -2.633
-2.950 -11.619 -0.886
Ho Ce Zr
2 1 1
Cartesian
-2.128 -8.623 -1.150
-0.280 -3.643 -5.402
-1.204 -6.133 -3.276
0.000 0.000 0.000
```

Properties
**Symmetry**: R-3m, No. 166
**Formation enthalpy at 0 K**: 291.9 meV per atom
**N(E_F)**: 5.3 states/eV/f.u.
**Distance to the lowest polymorph of the same formula**: 187 meV per atom



3.
Entry from Alexandria: a relaxed Ce2HoZr crystal (PBE-GGA).

The structure in POSCAR format:
```
Ce2HoZr
1.0
-1.664 2.398 1.523
-2.703 -1.880 0.006
2.687 -3.834 8.972
Zr Ce Ho
1 2 1
Cartesian
-2.184 0.259 0.765
0.639 -0.911 2.132
2.048 -2.923 6.840
-0.840 -1.657 5.251
```

Properties
**Symmetry**: P4/mmm, No. 123
**Formation enthalpy at 0 K**: 116.1 meV per atom
**N(E_F)**: 10.3 states/eV/f.u.
**Distance to the lowest polymorph of the same formula**: 0 meV per atom



4.
Entry from Alexandria: a relaxed CeHo2Zr crystal (PBE-GGA).

The structure in POSCAR format:
```
CeHo2Zr
1.0
4.931 0.000 0.000
0.000 4.778 0.000
0.000 0.000 4.778
Ce Zr Ho
1 1 2
Cartesian
2.466 2.389 2.389
2.466 0.000 0.000
0.000 2.389 0.000
0.000 0.000 2.389
```

Properties
**Symmetry**: P4/mmm, No. 123
**Formation enthalpy at 0 K**: 104.8 meV per atom
**N(E_F)**: 4.7 states/eV/f.u.
**Distance to the lowest polymorph of the same formula**: 0 meV per atom



5.
Entry from Alexandria: a relaxed CeI3 crystal (PBE-GGA).

The structure in POSCAR format:
```
CeI3
1.0
4.162 0.000 0.000
0.000 7.818 0.000
-2.081 -3.909 6.191
I Ce
3 1
Cartesian
0.000 3.040 4.135
2.081 -0.869 2.057
2.081 2.707 0.000
0.000 0.334 0.000
```

Properties
**Symmetry**: Imm2, No. 44
**Formation energy from raw total energies**: -128.03 kJ/mol of atoms
**N(E_F)**: 5.6 states/eV/f.u.



6.
Entry from Alexandria: a relaxed Ce2I3 crystal (PBE-GGA).

The structure in POSCAR format:
```
Ce2I3
1.0
7.846 0.000 4.435
3.923 6.528 2.217
0.627 0.000 8.048
Ce I
4 6
Cartesian
7.608 2.658 6.264
5.995 3.870 9.118
9.604 5.922 7.311
7.922 0.606 10.288
5.604 0.834 8.033
6.476 5.694 6.488
1.069 0.000 0.604
9.229 3.264 9.063
5.290 2.430 4.009
10.713 4.097 12.730
```

Properties
**Symmetry**: Fdd2, No. 43
**Formation energy from raw total energies**: -92.28 kJ/mol of atoms
**N(E_F)**: 14.5 states/eV/f.u.
**Distance to the lowest polymorph of the same formula**: 0 meV per atom



- Which value of N(E_F) does entry 6 give?
  14.5 states/eV/f.u.



- N(E_F) of number 3 (Ce2HoZr)?
  10.3 states/eV/f.u.



- Number 4 is which compound?
  CeHo2Zr



- What is the N(E_F) in the fifth record?
  5.6 states/eV/f.u.